No. 1
InP2Os, optimized geometry, DFT PBE-GGA; ρ = 7.994 Mg/m³; formation enthalpy at 0 K = 80 kJ/mol of formula units; volume = 76.2 Å³ per cell
1.0
-0.9615 2.6177 0.9611
-2.7224 -1.5621 1.5311
3.9579 -0.8222 6.1986
In Os P
1 1 2
Cartesian
1.8578 -0.3859 2.9096 In
1.9009 -0.2497 7.1080 Os
3.3089 -0.6874 5.1822 P
-0.8569 0.3232 2.7888 P

***

No. 2
InPOs2, optimized geometry, DFT PBE-GGA; ρ = 13.610 Mg/m³; formation enthalpy at 0 K = 147 kJ/mol of formula units; volume = 64.2 Å³ per cell
1.0
-5.4899 4.3629 4.9031
-7.4046 2.8253 3.2254
-6.2240 1.5806 5.6548
In Os P
1 2 1
Cartesian
-14.3571 6.5849 10.3506 In
-19.0214 8.7242 13.7133 Os
-4.6459 2.1309 3.3494 Os
-9.7719 4.4819 7.0450 P

***

No. 3
InPOs2, optimized geometry, DFT PBE-GGA; ρ = 13.859 Mg/m³; formation enthalpy at 0 K = 306 kJ/mol of formula units; volume = 63.1 Å³ per cell
1.0
4.8135 0.0004 0.0000
1.4355 4.5945 0.0000
-3.1245 -2.2974 2.8511
In Os P
1 2 1
Cartesian
2.4067 0.0002 1.4256 In
0.0000 0.0000 0.0000 Os
0.7178 2.2972 1.4256 Os
3.1245 2.2974 0.0000 P

***

No. 4
InP2Os, optimized geometry, DFT PBE-GGA; ρ = 8.223 Mg/m³; formation enthalpy at 0 K = 51 kJ/mol of formula units; volume = 74.1 Å³ per cell
1.0
2.9130 0.0000 0.0000
0.0000 2.9130 0.0000
0.0000 0.0000 8.7337
In Os P
1 1 2
Cartesian
1.4565 1.4565 2.1834 In
1.4565 1.4565 6.5503 Os
0.0000 0.0000 8.0408 P
0.0000 0.0000 5.0597 P

***

No. 5
InP2Os, optimized geometry, DFT PBE-GGA; ρ = 9.580 Mg/m³; formation enthalpy at 0 K = 274 kJ/mol of formula units; volume = 63.6 Å³ per cell
1.0
3.1885 0.0000 0.0000
0.0000 4.4667 0.0000
0.0000 0.0000 4.4667
In Os P
1 1 2
Cartesian
1.5943 2.2334 0.0000 In
1.5943 0.0000 2.2334 Os
0.0000 0.0000 0.0000 P
0.0000 2.2334 2.2334 P

***

No. 6
InPOs2, optimized geometry, DFT PBE-GGA; ρ = 13.309 Mg/m³; formation enthalpy at 0 K = 120 kJ/mol of formula units; volume = 65.7 Å³ per cell
1.0
-2.6687 -0.2781 -3.6662
2.0894 -1.5746 -1.4014
-1.9366 -4.1224 1.7224
In Os P
1 2 1
Cartesian
-0.9341 -4.5544 -1.7895 In
1.6729 -1.7134 -1.0877 Os
-1.0082 -1.7026 -1.9519 Os
-0.0807 -2.4277 0.2429 P

***

No. 7
InP2Os, optimized geometry, DFT PBE-GGA; ρ = 8.410 Mg/m³; formation enthalpy at 0 K = 91 kJ/mol of formula units; volume = 72.5 Å³ per cell
1.0
4.3338 0.0000 0.0000
0.0000 3.4194 -0.0004
0.0000 0.9501 4.8900
In Os P
1 1 2
Cartesian
2.1669 1.0924 1.2224 In
2.1669 3.2771 3.6673 Os
0.0000 4.1626 4.4069 P
0.0000 2.3917 2.9276 P

***

No. 8
InP2Os, optimized geometry, DFT PBE-GGA; ρ = 9.327 Mg/m³; formation enthalpy at 0 K = 201 kJ/mol of formula units; volume = 65.3 Å³ per cell
1.0
5.1659 -0.0115 0.0024
1.9060 4.8014 -0.0024
-2.8458 -3.4140 2.6330
In Os P
1 1 2
Cartesian
3.5616 2.4123 0.0000 In
1.0507 1.7236 1.3153 Os
0.0680 0.0460 0.0000 P
3.0819 -0.4111 1.3177 P

***

No. 9
InPOs2, optimized geometry, DFT PBE-GGA; ρ = 12.549 Mg/m³; formation enthalpy at 0 K = 69 kJ/mol of formula units; volume = 69.6 Å³ per cell
1.0
3.7441 0.0012 0.0009
2.6065 2.6878 0.0009
2.2469 0.9514 6.9224
In Os P
1 2 1
Cartesian
6.4481 2.7303 5.1931 In
0.3297 0.1396 0.5641 Os
3.9691 1.6806 2.8980 Os
2.1494 0.9101 1.7310 P

***

No. 10
InPOs2, optimized geometry, DFT PBE-GGA; ρ = 12.407 Mg/m³; formation enthalpy at 0 K = 237 kJ/mol of formula units; volume = 70.4 Å³ per cell
1.0
-1.6682 0.1802 2.2760
2.7025 -0.7783 0.2936
2.6722 9.7272 1.1883
In Os P
1 2 1
Cartesian
2.5920 7.2539 2.2075 In
0.0776 0.2825 0.0345 Os
1.1977 2.1783 1.5874 Os
1.1752 4.2780 0.5226 P

***

No. 11
InPOs2, optimized geometry, DFT PBE-GGA; ρ = 13.411 Mg/m³; formation enthalpy at 0 K = 58 kJ/mol of formula units; volume = 65.2 Å³ per cell
1.0
-1.2569 -4.1742 -5.9889
-4.2078 -5.2641 -3.0750
1.3743 6.2081 3.8002
In Os P
1 2 1
Cartesian
-3.0826 -2.4051 -2.4004 In
-5.3342 -9.2130 -8.8475 Os
-0.8719 -0.5904 -2.6379 Os
-2.9987 -5.1791 -4.9737 P

***

No. 12
InP2Os, optimized geometry, DFT PBE-GGA; ρ = 8.601 Mg/m³; formation enthalpy at 0 K = 55 kJ/mol of formula units; volume = 70.9 Å³ per cell
1.0
-5.0780 7.2962 1.4330
-4.9983 6.1622 4.2565
-2.7318 7.9347 3.2638
In Os P
1 1 2
Cartesian
-3.2020 5.3483 2.2383 In
-9.6061 16.0448 6.7150 Os
-0.2360 0.3941 0.1649 P
-6.1681 10.3024 4.3117 P

***

No. 13
InPOs2, optimized geometry, DFT PBE-GGA; ρ = 14.179 Mg/m³; formation enthalpy at 0 K = 91 kJ/mol of formula units; volume = 61.6 Å³ per cell
1.0
8.4034 -0.0041 -0.0024
7.8903 2.8914 -0.0024
7.8903 1.3982 2.5309
In Os P
1 2 1
Cartesian
18.1381 3.2141 1.8945 In
23.8479 4.2259 2.4909 Os
12.4283 2.2023 1.2981 Os
6.0460 1.0714 0.6315 P

***

No. 14
InP2Os, optimized geometry, DFT PBE-GGA; ρ = 9.479 Mg/m³; formation enthalpy at 0 K = 292 kJ/mol of formula units; volume = 64.3 Å³ per cell
1.0
-0.6500 -0.2253 4.8454
3.9674 -1.9989 2.0531
-0.5017 3.6911 -3.1741
In Os P
1 1 2
Cartesian
1.6587 -1.1121 3.4492 In
0.2535 1.1769 2.5603 Os
0.0000 0.0000 0.0000 P
2.5622 0.2901 1.1641 P

***

No. 15
InP2Os, optimized geometry, DFT PBE-GGA; ρ = 8.155 Mg/m³; formation enthalpy at 0 K = 8 kJ/mol of formula units; volume = 74.7 Å³ per cell
1.0
-3.3204 0.3535 2.7684
-1.1525 -1.5097 3.8996
1.5809 4.4078 4.2308
In Os P
1 1 2
Cartesian
-1.0912 1.6769 4.8535 In
-2.0415 3.1783 9.1476 Os
0.9697 3.6739 4.1931 P
-0.5943 0.7562 2.3846 P

***

No. 16
InP2Os, optimized geometry, DFT PBE-GGA; ρ = 9.131 Mg/m³; formation enthalpy at 0 K = 119 kJ/mol of formula units; volume = 66.7 Å³ per cell
1.0
-1.9831 -0.2237 2.2385
-1.2681 -2.3537 -1.3586
4.5980 -4.5652 3.6172
In Os P
1 1 2
Cartesian
2.4057 -2.3885 1.8925 In
2.1411 -5.0285 3.4032 Os
4.5120 -4.4799 3.5496 P
-0.8150 -2.0935 1.0776 P

***

No. 17
In4POs, optimized geometry, DFT PBE-GGA; ρ = 8.363 Mg/m³; formation enthalpy at 0 K = 641 kJ/mol of formula units; volume = 135.1 Å³ per cell
1.0
0.0000 4.0728 4.0728
4.0728 0.0000 4.0728
4.0728 4.0728 0.0000
In P Os
4 1 1
Cartesian
3.0558 5.0898 5.0898 In
5.0898 5.0898 3.0558 In
5.0898 3.0558 5.0898 In
3.0558 3.0558 3.0558 In
0.0000 0.0000 0.0000 P
6.1092 6.1092 6.1092 Os

***

No. 18
InPOs2, optimized geometry, DFT PBE-GGA; ρ = 13.640 Mg/m³; formation enthalpy at 0 K = 333 kJ/mol of formula units; volume = 64.1 Å³ per cell
1.0
-0.6785 1.8072 4.0554
-4.1721 0.9471 1.3670
-1.9046 -2.4389 3.2553
In Os P
1 2 1
Cartesian
-3.3776 0.1577 4.3389 In
0.0000 0.0000 0.0000 Os
-1.6888 0.0789 2.1694 Os
-5.0664 0.2366 6.5083 P

***

No. 19
In3POs, optimized geometry, DFT PBE-GGA; ρ = 7.392 Mg/m³; formation enthalpy at 0 K = 618 kJ/mol of formula units; volume = 127.1 Å³ per cell
1.0
-4.6702 -1.6568 -0.8474
0.7498 -3.7706 3.2396
-1.7031 2.8831 3.7498
P Os In
1 1 3
Cartesian
0.0000 0.0000 0.0000 P
-2.8118 -1.2721 3.0710 Os
0.3749 -1.8853 1.6198 In
-0.8516 1.4415 1.8749 In
-2.3351 -0.8284 -0.4237 In

***

No. 20
InPOs2, optimized geometry, DFT PBE-GGA; ρ = 13.525 Mg/m³; formation enthalpy at 0 K = 186 kJ/mol of formula units; volume = 64.6 Å³ per cell
1.0
-0.7902 -2.0838 -2.0066
1.7591 -0.6638 2.3362
-6.8085 -1.8490 4.6012
In Os P
1 2 1
Cartesian
-4.6219 -2.7605 3.6158 In
-0.2690 -0.0730 0.1818 Os
-3.1353 -0.8514 2.1189 Os
-1.2177 -1.8361 1.3151 P

***

No. 21
In3POs, optimized geometry, DFT PBE-GGA; ρ = 6.728 Mg/m³; formation enthalpy at 0 K = 339 kJ/mol of formula units; volume = 139.6 Å³ per cell
1.0
-1.2317 4.7241 -1.7542
-4.9945 -1.3846 -0.2221
-0.6705 1.6362 4.8770
P Os In
1 1 3
Cartesian
-3.4483 2.4878 1.4503 P
0.0000 0.0000 0.0000 Os
-2.4972 -0.6923 -0.1111 In
-0.3352 0.8181 2.4385 In
-0.6158 2.3620 -0.8771 In

***

No. 22
InP2Os, optimized geometry, DFT PBE-GGA; ρ = 6.850 Mg/m³; formation enthalpy at 0 K = 19 kJ/mol of formula units; volume = 177.9 Å³ per cell
1.0
5.7179 0.0000 0.0000
0.0000 5.7179 0.0000
2.8589 2.8589 5.4419
P Os In
4 2 2
Cartesian
4.6168 1.4295 1.3605 P
1.1011 4.2884 1.3605 P
4.2884 3.9601 4.0814 P
7.1474 7.4757 4.0814 P
0.0000 0.0000 0.0000 Os
5.7179 2.8589 2.7209 Os
2.8589 2.8589 0.0000 In
2.8589 5.7179 2.7209 In

***

No. 23
InPOs2, optimized geometry, DFT PBE-GGA; ρ = 12.982 Mg/m³; formation enthalpy at 0 K = 148 kJ/mol of formula units; volume = 134.6 Å³ per cell
1.0
-4.5119 -2.1109 -5.0041
5.4283 -1.5448 -4.2427
0.5246 -4.3361 -3.6252
P Os In
2 4 2
Cartesian
0.4582 -1.8279 -4.6234 P
3.2056 -3.8544 -6.2456 P
-1.6601 -2.4326 -4.1759 Os
2.6098 -2.4772 -4.5718 Os
1.1584 -4.7429 -6.5157 Os
0.7741 -6.3310 -10.4806 Os
0.0000 0.0000 0.0000 In
-1.7645 -4.1374 -6.6263 In

***

No. 24
InP2Os2, optimized geometry, DFT PBE-GGA; ρ = 11.338 Mg/m³; formation enthalpy at 0 K = -12 kJ/mol of formula units; volume = 81.6 Å³ per cell
1.0
-0.7340 3.5625 -0.9835
-3.4415 -0.2933 1.5058
-0.0326 3.4525 5.3123
P Os In
2 2 1
Cartesian
-1.4272 4.3248 2.2950 P
-2.7809 2.3969 3.5396 P
-1.5510 2.1093 1.5803 Os
-2.6571 4.6123 4.2543 Os
0.0000 0.0000 0.0000 In

***

No. 25
InPOs2, optimized geometry, DFT PBE-GGA; ρ = 13.642 Mg/m³; formation enthalpy at 0 K = 307 kJ/mol of formula units; volume = 64.1 Å³ per cell
1.0
-1.9258 1.6506 1.5904
1.2249 -2.5098 4.0881
3.1314 2.8635 0.8197
In Os P
1 2 1
Cartesian
2.1782 0.1768 2.4539 In
0.0000 0.0000 0.0000 Os
-0.3504 -0.4296 2.8393 Os
0.6028 2.2571 1.2051 P

***

No. 26
InP2Os, optimized geometry, DFT PBE-GGA; ρ = 9.550 Mg/m³; formation enthalpy at 0 K = 245 kJ/mol of formula units; volume = 63.8 Å³ per cell
1.0
4.5388 -0.0058 0.0000
-1.2267 4.3699 0.0000
0.0000 0.0000 3.2183
In Os P
1 1 2
Cartesian
2.2694 -0.0029 1.6092 In
-0.6133 2.1850 1.6092 Os
0.0000 0.0000 0.0000 P
1.6561 2.1820 0.0000 P

***

No. 27
InP2Os, optimized geometry, DFT PBE-GGA; ρ = 9.391 Mg/m³; formation enthalpy at 0 K = 326 kJ/mol of formula units; volume = 64.9 Å³ per cell
1.0
-2.9863 -1.9166 2.7849
0.8565 -4.0547 1.7810
0.9368 -0.3802 4.3959
In Os P
1 1 2
Cartesian
-0.5965 -3.1757 4.4809 In
-0.8947 -4.7636 6.7213 Os
0.0000 0.0000 0.0000 P
-0.2982 -1.5879 2.2404 P

***

No. 28
InPOs2, optimized geometry, DFT PBE-GGA; ρ = 13.848 Mg/m³; formation enthalpy at 0 K = 134 kJ/mol of formula units; volume = 63.1 Å³ per cell
1.0
3.8081 0.0000 0.0000
0.0000 3.0393 0.0035
0.0000 1.3349 5.4538
In Os P
1 2 1
Cartesian
1.9040 3.2807 4.0929 In
0.0000 0.4040 0.1997 Os
0.0000 1.7831 2.5290 Os
1.9040 1.0936 1.3643 P

***

No. 29
InPOs2, optimized geometry, DFT PBE-GGA; ρ = 13.139 Mg/m³; formation enthalpy at 0 K = 103 kJ/mol of formula units; volume = 66.5 Å³ per cell
1.0
-0.3857 2.1827 -1.8230
1.3931 -1.4588 -2.0414
-6.9760 -3.2620 -2.4294
In Os P
1 2 1
Cartesian
-4.8856 -2.1581 -3.8090 In
-0.2252 -0.1053 -0.0784 Os
-1.3033 -0.4830 -2.5615 Os
-3.0426 -1.4227 -1.0596 P

***

No. 30
InPOs2, optimized geometry, DFT PBE-GGA; ρ = 13.886 Mg/m³; formation enthalpy at 0 K = 155 kJ/mol of formula units; volume = 62.9 Å³ per cell
1.0
5.2022 -0.0010 -0.0008
1.9739 4.8132 0.0008
-2.7837 -3.6056 2.5127
In Os P
1 2 1
Cartesian
1.3891 1.8069 1.2568 In
6.9083 4.6326 0.0000 Os
3.8560 2.5857 0.0000 Os
3.0033 -0.6002 1.2560 P